Record 1
DFT (PBE) results for an optimized crystal structure of Mg2TiBeCd.

Unit cell a=5.394 b=5.294 c=5.394 alpha=90.00 beta=90.00 gamma=90.00
Fractional positions:
Be1 0.500 0.500 0.500
Mg1 0.000 0.000 0.500
Mg2 0.500 0.000 0.000
Ti1 0.000 0.000 0.000
Cd1 0.000 0.500 0.000

Properties
- Energy of formation: 7.02 eV per formula unit
- Spin magnetization: 3.0 μB per formula unit
- Space group: P4/mmm, No. 123

---

Record 2
DFT (PBE) results for an optimized crystal structure of YMgBeCd.

Unit cell a=4.870 b=4.870 c=4.870 alpha=60.00 beta=60.00 gamma=60.00
Fractional positions:
Y1 0.750 0.750 0.750
Be1 0.500 0.500 0.500
Mg1 0.250 0.250 0.250
Cd1 0.000 0.000 0.000

Properties
- Energy of formation: -0.15 eV per formula unit
- Spin magnetization: 0.0 μB per formula unit
- Space group: F-43m, No. 216

---

Record 3
DFT (PBE) results for an optimized crystal structure of Mg2ZrBeCd.

Unit cell a=4.660 b=4.540 c=4.660 alpha=90.00 beta=90.00 gamma=90.00
Fractional positions:
Be1 0.000 0.000 0.000
Mg1 0.000 0.000 0.500
Mg2 0.500 0.000 0.000
Zr1 0.500 0.500 0.500
Cd1 0.000 0.500 0.000

Properties
- Energy of formation: 1.86 eV per formula unit
- Spin magnetization: 0.0 μB per formula unit
- Space group: P4/mmm, No. 123